Entry 1:
DFT (PBE with a Hubbard U) results for NiSnHgF2 after structural relaxation.

a b c (Å): 4.079 4.079 5.572
angles (deg): 90.00 90.00 90.00
Atoms (fractional coordinates):
Ni 0.000 0.000 0.000
Sn 0.500 0.500 0.500
Hg 0.000 0.000 0.500
F 0.000 0.500 0.000
F 0.500 0.000 0.000

Values from the calculation:
E_tot (eV per atom): -3.054
Crystal system: tetragonal
Total magnetic moment (μB/atom): 0.32
Volume (A^3/atom): 18.54

Entry 2:
DFT (PBE with a Hubbard U) results for SrNiHgF6 after structural relaxation.

a b c (Å): 5.739 5.739 10.153
angles (deg): 90.00 90.00 120.00
Atoms (fractional coordinates):
Sr 0.000 0.000 0.000
Sr 0.000 0.000 0.500
Ni 0.333 0.667 0.250
Ni 0.667 0.333 0.750
Hg 0.333 0.667 0.750
Hg 0.667 0.333 0.250
F 0.040 0.372 0.138
F 0.040 0.669 0.362
F 0.331 0.372 0.362
F 0.331 0.960 0.138
F 0.372 0.040 0.638
F 0.372 0.331 0.862
F 0.628 0.669 0.138
F 0.628 0.960 0.362
F 0.669 0.040 0.862
F 0.669 0.628 0.638
F 0.960 0.331 0.638
F 0.960 0.628 0.862

Values from the calculation:
E_tot (eV per atom): -4.252
Crystal system: trigonal
Total magnetic moment (μB/atom): 0.21
Volume (A^3/atom): 16.09

Entry 3:
DFT (PBE with a Hubbard U) results for SrNiHg2F8 after structural relaxation.

a b c (Å): 4.582 7.367 5.438
angles (deg): 90.00 90.18 90.00
Atoms (fractional coordinates):
Sr 0.000 0.000 0.000
Ni 0.000 0.500 0.000
Hg 0.500 0.266 0.500
Hg 0.500 0.734 0.500
F 0.122 0.284 0.778
F 0.122 0.716 0.778
F 0.350 0.500 0.231
F 0.441 0.000 0.253
F 0.559 0.000 0.747
F 0.650 0.500 0.769
F 0.878 0.284 0.222
F 0.878 0.716 0.222

Values from the calculation:
E_tot (eV per atom): -3.849
Crystal system: monoclinic
Total magnetic moment (μB/atom): 0.16
Volume (A^3/atom): 15.29

Entry 4:
DFT (PBE with a Hubbard U) results for SrNi2HgF8 after structural relaxation.

a b c (Å): 4.300 5.394 7.755
angles (deg): 83.68 88.37 80.59
Atoms (fractional coordinates):
Sr 0.000 0.000 0.000
Ni 0.479 0.464 0.708
Ni 0.521 0.536 0.292
Hg 0.000 0.000 0.500
F 0.092 0.738 0.290
F 0.122 0.727 0.758
F 0.417 0.283 0.494
F 0.434 0.253 0.928
F 0.566 0.747 0.072
F 0.583 0.717 0.506
F 0.878 0.273 0.242
F 0.908 0.262 0.710

Values from the calculation:
E_tot (eV per atom): -4.191
Crystal system: triclinic
Total magnetic moment (μB/atom): 0.33
Volume (A^3/atom): 14.70